## Gd3Mg2CdCuPt2 (PBE)

Data for a geometry-optimized Gd3Mg2CdCuPt2 structure. Values from VASP.

**Energy**: -4.48 eV per atom

Quantum ESPRESSO input file:
```
&SYSTEM
  ibrav = 0, nat = 9, ntyp = 5
/
ATOMIC_SPECIES
Pt 195.08 Pt.upf
Gd 157.25 Gd.upf
Cd 112.41 Cd.upf
Cu 63.55 Cu.upf
Mg 24.30 Mg.upf
ATOMIC_POSITIONS crystal
Pt 0.000 0.322 0.662
Pt 0.000 0.662 0.322
Gd 0.500 0.422 0.422
Gd 0.500 0.992 0.584
Gd 0.500 0.584 0.992
Cd 0.000 0.762 0.762
Cu 0.500 0.011 0.011
Mg 0.000 0.246 0.000
Mg 0.000 0.000 0.246
CELL_PARAMETERS angstrom
3.941 0.000 0.000
0.000 6.533 3.782
0.000 -6.533 3.782
```

=====

## Gd3MgCd2CuPt2 (PBE)

Data for a geometry-optimized Gd3MgCd2CuPt2 structure. Values from VASP.

**Energy**: -4.42 eV per atom

Quantum ESPRESSO input file:
```
&SYSTEM
  ibrav = 0, nat = 9, ntyp = 5
/
ATOMIC_SPECIES
Gd 157.25 Gd.upf
Pt 195.08 Pt.upf
Mg 24.30 Mg.upf
Cd 112.41 Cd.upf
Cu 63.55 Cu.upf
ATOMIC_POSITIONS crystal
Gd 0.000 0.586 0.007
Gd 0.000 0.007 0.586
Gd 0.000 0.407 0.407
Pt 0.500 0.671 0.346
Pt 0.500 0.346 0.671
Mg 0.500 0.753 0.753
Cd 0.500 0.242 0.998
Cd 0.500 0.998 0.242
Cu 0.000 0.991 0.991
CELL_PARAMETERS angstrom
3.894 0.000 0.000
0.000 6.601 3.783
0.000 -6.601 3.783
```

=====

## Nd2GdCd3CuPt2 (PBE)

Data for a geometry-optimized Nd2GdCd3CuPt2 structure. Values from VASP.

**Formation energy from the elements**: -0.71 eV per atom

Quantum ESPRESSO input file:
```
&SYSTEM
  ibrav = 0, nat = 9, ntyp = 5
/
ATOMIC_SPECIES
Nd 144.24 Nd.upf
Cd 112.41 Cd.upf
Pt 195.08 Pt.upf
Gd 157.25 Gd.upf
Cu 63.55 Cu.upf
ATOMIC_POSITIONS crystal
Nd 0.000 0.000 0.414
Nd 0.000 0.414 0.000
Cd 0.500 0.998 0.755
Cd 0.500 0.245 0.245
Cd 0.500 0.755 0.998
Pt 0.500 0.666 0.338
Pt 0.500 0.338 0.666
Gd 0.000 0.586 0.586
Cu 0.000 0.998 0.998
CELL_PARAMETERS angstrom
3.932 0.000 0.000
0.000 6.657 3.850
0.000 -6.657 3.850
```

=====

## Gd3Cd3Cu2Pd (PBE)

Data for a geometry-optimized Gd3Cd3Cu2Pd structure. Values from VASP.

**Formation energy from the elements**: -0.41 eV per atom

Quantum ESPRESSO input file:
```
&SYSTEM
  ibrav = 0, nat = 9, ntyp = 4
/
ATOMIC_SPECIES
Cd 112.41 Cd.upf
Cu 63.55 Cu.upf
Gd 157.25 Gd.upf
Pd 106.42 Pd.upf
ATOMIC_POSITIONS crystal
Cd 0.000 0.258 0.500
Cd 0.742 0.742 0.500
Cd 0.258 0.000 0.500
Cu 0.667 0.333 0.500
Cu 0.333 0.667 0.500
Gd 0.593 0.000 0.000
Gd 0.000 0.593 0.000
Gd 0.407 0.407 0.000
Pd 0.000 0.000 0.000
CELL_PARAMETERS angstrom
-3.123 6.764 -0.758
-3.834 -6.133 -1.941
-1.461 -0.259 3.705
```

=====

## Gd3Cd3CuPd2 (PBE)

Data for a geometry-optimized Gd3Cd3CuPd2 structure. Values from VASP.

**Formation energy from the elements**: -0.59 eV per atom

Quantum ESPRESSO input file:
```
&SYSTEM
  ibrav = 0, nat = 9, ntyp = 4
/
ATOMIC_SPECIES
Cd 112.41 Cd.upf
Pd 106.42 Pd.upf
Gd 157.25 Gd.upf
Cu 63.55 Cu.upf
ATOMIC_POSITIONS crystal
Cd 0.000 0.247 0.000
Cd 0.247 0.000 0.000
Cd 0.753 0.753 0.000
Pd 0.333 0.667 0.000
Pd 0.667 0.333 0.000
Gd 0.411 0.411 0.500
Gd 0.589 0.000 0.500
Gd 0.000 0.589 0.500
Cu 0.000 0.000 0.500
CELL_PARAMETERS angstrom
7.580 0.000 0.000
-3.790 6.564 0.000
0.000 0.000 3.909
```

=====

## PrGd2Cd3CuPt2 (PBE)

Data for a geometry-optimized PrGd2Cd3CuPt2 structure. Values from VASP.

**Formation energy from the elements**: -0.72 eV per atom

Quantum ESPRESSO input file:
```
&SYSTEM
  ibrav = 0, nat = 9, ntyp = 5
/
ATOMIC_SPECIES
Cd 112.41 Cd.upf
Pt 195.08 Pt.upf
Cu 63.55 Cu.upf
Pr 140.91 Pr.upf
Gd 157.25 Gd.upf
ATOMIC_POSITIONS crystal
Cd 0.500 0.997 0.244
Cd 0.500 0.244 0.997
Cd 0.500 0.756 0.756
Pt 0.500 0.332 0.672
Pt 0.500 0.672 0.332
Cu 0.000 0.997 0.997
Pr 0.000 0.413 0.413
Gd 0.000 0.000 0.587
Gd 0.000 0.587 0.000
CELL_PARAMETERS angstrom
-1.544 2.790 2.254
3.937 -2.709 6.049
3.099 5.394 -4.553
```

=====

## Gd3Cd3CuPt2 (PBE)

Data for a geometry-optimized Gd3Cd3CuPt2 structure. Values from VASP.

**Formation energy from the elements**: -0.74 eV per atom

Quantum ESPRESSO input file:
```
&SYSTEM
  ibrav = 0, nat = 9, ntyp = 4
/
ATOMIC_SPECIES
Cd 112.41 Cd.upf
Gd 157.25 Gd.upf
Pt 195.08 Pt.upf
Cu 63.55 Cu.upf
ATOMIC_POSITIONS crystal
Cd 0.755 0.755 0.500
Cd 0.245 0.000 0.500
Cd 0.000 0.245 0.500
Gd 0.000 0.586 0.000
Gd 0.414 0.414 0.000
Gd 0.586 0.000 0.000
Pt 0.667 0.333 0.500
Pt 0.333 0.667 0.500
Cu 0.000 0.000 0.000
CELL_PARAMETERS angstrom
7.603 0.000 0.000
-3.802 6.584 0.000
0.000 0.000 3.879
```

=====

## CdCuGe2 (PBE)

Data for a geometry-optimized CdCuGe2 structure. Values from VASP.

**Energy**: -3.16 eV per atom

Quantum ESPRESSO input file:
```
&SYSTEM
  ibrav = 0, nat = 4, ntyp = 3
/
ATOMIC_SPECIES
Ge 72.64 Ge.upf
Cd 112.41 Cd.upf
Cu 63.55 Cu.upf
ATOMIC_POSITIONS crystal
Ge 0.000 0.000 0.000
Ge 0.250 0.250 0.250
Cd 0.500 0.500 0.500
Cu 0.750 0.750 0.750
CELL_PARAMETERS angstrom
0.000 3.324 3.324
3.324 0.000 3.324
3.324 3.324 0.000
```

=====

## CdCu2Ge (PBE)

Data for a geometry-optimized CdCu2Ge structure. Values from VASP.

**Energy**: -2.99 eV per atom

Quantum ESPRESSO input file:
```
&SYSTEM
  ibrav = 0, nat = 4, ntyp = 3
/
ATOMIC_SPECIES
Cd 112.41 Cd.upf
Ge 72.64 Ge.upf
Cu 63.55 Cu.upf
ATOMIC_POSITIONS crystal
Cd 0.250 0.250 0.250
Ge 0.500 0.500 0.500
Cu 0.750 0.750 0.750
Cu 0.000 0.000 0.000
CELL_PARAMETERS angstrom
0.000 3.180 3.180
3.180 0.000 3.180
3.180 3.180 0.000
```

=====

## Cd2CuGe (PBE)

Data for a geometry-optimized Cd2CuGe structure. Values from VASP.

**Energy**: -2.28 eV per atom

Quantum ESPRESSO input file:
```
&SYSTEM
  ibrav = 0, nat = 4, ntyp = 3
/
ATOMIC_SPECIES
Cd 112.41 Cd.upf
Ge 72.64 Ge.upf
Cu 63.55 Cu.upf
ATOMIC_POSITIONS crystal
Cd 0.750 0.750 0.750
Cd 0.000 0.000 0.000
Ge 0.500 0.500 0.500
Cu 0.250 0.250 0.250
CELL_PARAMETERS angstrom
1.541 -4.319 -1.282
0.210 -3.505 3.216
-3.057 -3.642 -0.245
```

=====

## CdCuHgGe (PBE)

Data for a geometry-optimized CdCuHgGe structure. Values from VASP.

**Energy above the lowest structure with this stoichiometry**: 0.0 meV per atom

Quantum ESPRESSO input file:
```
&SYSTEM
  ibrav = 0, nat = 4, ntyp = 4
/
ATOMIC_SPECIES
Cu 63.55 Cu.upf
Ge 72.64 Ge.upf
Cd 112.41 Cd.upf
Hg 200.59 Hg.upf
ATOMIC_POSITIONS crystal
Cu 0.750 0.750 0.750
Ge 0.000 0.000 0.000
Cd 0.250 0.250 0.250
Hg 0.500 0.500 0.500
CELL_PARAMETERS angstrom
2.723 -3.827 0.936
-0.832 -4.141 -2.258
3.095 -1.599 -3.287
```

=====

## CdCuGeIr (PBE)

Data for a geometry-optimized CdCuGeIr structure. Values from VASP.

**Energy above the lowest structure with this stoichiometry**: 0.0 meV per atom

Quantum ESPRESSO input file:
```
&SYSTEM
  ibrav = 0, nat = 4, ntyp = 4
/
ATOMIC_SPECIES
Cd 112.41 Cd.upf
Ir 192.22 Ir.upf
Ge 72.64 Ge.upf
Cu 63.55 Cu.upf
ATOMIC_POSITIONS crystal
Cd 0.500 0.500 0.500
Ir 0.250 0.250 0.250
Ge 0.000 0.000 0.000
Cu 0.750 0.750 0.750
CELL_PARAMETERS angstrom
0.000 3.163 3.163
3.163 0.000 3.163
3.163 3.163 0.000
```

=====

## Li4CdCuGe2 (PBE)

Data for a geometry-optimized Li4CdCuGe2 structure. Values from VASP.

**Energy**: -3.00 eV per atom

Quantum ESPRESSO input file:
```
&SYSTEM
  ibrav = 0, nat = 8, ntyp = 4
/
ATOMIC_SPECIES
Cd 112.41 Cd.upf
Cu 63.55 Cu.upf
Li 6.94 Li.upf
Ge 72.64 Ge.upf
ATOMIC_POSITIONS crystal
Cd 0.500 0.500 0.500
Cu 0.000 0.000 0.000
Li 0.500 0.000 0.774
Li 0.000 0.500 0.226
Li 0.500 0.500 0.000
Li 0.000 0.000 0.500
Ge 0.000 0.500 0.775
Ge 0.500 0.000 0.225
CELL_PARAMETERS angstrom
-3.970 0.488 1.715
0.525 -3.680 2.264
2.441 3.254 4.724
```

=====

## MgCdCuGe (PBE)

Data for a geometry-optimized MgCdCuGe structure. Values from VASP.

**Energy above the lowest structure with this stoichiometry**: 0.0 meV per atom

Quantum ESPRESSO input file:
```
&SYSTEM
  ibrav = 0, nat = 4, ntyp = 4
/
ATOMIC_SPECIES
Ge 72.64 Ge.upf
Cd 112.41 Cd.upf
Mg 24.30 Mg.upf
Cu 63.55 Cu.upf
ATOMIC_POSITIONS crystal
Ge 0.000 0.000 0.000
Cd 0.500 0.500 0.500
Mg 0.250 0.250 0.250
Cu 0.750 0.750 0.750
CELL_PARAMETERS angstrom
0.000 3.306 3.306
3.306 0.000 3.306
3.306 3.306 0.000
```

=====

## CdCuGeMo (PBE)

Data for a geometry-optimized CdCuGeMo structure. Values from VASP.

**Energy above the lowest structure with this stoichiometry**: 0.0 meV per atom

Quantum ESPRESSO input file:
```
&SYSTEM
  ibrav = 0, nat = 4, ntyp = 4
/
ATOMIC_SPECIES
Cd 112.41 Cd.upf
Ge 72.64 Ge.upf
Mo 95.94 Mo.upf
Cu 63.55 Cu.upf
ATOMIC_POSITIONS crystal
Cd 0.500 0.500 0.500
Ge 0.000 0.000 0.000
Mo 0.250 0.250 0.250
Cu 0.750 0.750 0.750
CELL_PARAMETERS angstrom
0.000 3.179 3.179
3.179 0.000 3.179
3.179 3.179 0.000
```

=====

## CdCuGePd (PBE)

Data for a geometry-optimized CdCuGePd structure. Values from VASP.

**Energy above the lowest structure with this stoichiometry**: 0.0 meV per atom

Quantum ESPRESSO input file:
```
&SYSTEM
  ibrav = 0, nat = 4, ntyp = 4
/
ATOMIC_SPECIES
Cd 112.41 Cd.upf
Ge 72.64 Ge.upf
Cu 63.55 Cu.upf
Pd 106.42 Pd.upf
ATOMIC_POSITIONS crystal
Cd 0.500 0.500 0.500
Ge 0.000 0.000 0.000
Cu 0.750 0.750 0.750
Pd 0.250 0.250 0.250
CELL_PARAMETERS angstrom
-2.842 1.779 3.027
-2.848 3.282 -1.233
-4.428 -0.844 -0.292
```

=====

## CdCuReGe (PBE)

Data for a geometry-optimized CdCuReGe structure. Values from VASP.

**Energy above the lowest structure with this stoichiometry**: 0.0 meV per atom

Quantum ESPRESSO input file:
```
&SYSTEM
  ibrav = 0, nat = 4, ntyp = 4
/
ATOMIC_SPECIES
Cd 112.41 Cd.upf
Re 186.21 Re.upf
Cu 63.55 Cu.upf
Ge 72.64 Ge.upf
ATOMIC_POSITIONS crystal
Cd 0.500 0.500 0.500
Re 0.250 0.250 0.250
Cu 0.750 0.750 0.750
Ge 0.000 0.000 0.000
CELL_PARAMETERS angstrom
0.000 3.154 3.154
3.154 0.000 3.154
3.154 3.154 0.000
```

=====

## Cd2CuGeS4 (PBE)

Data for a geometry-optimized Cd2CuGeS4 structure. Values from VASP.

**Energy**: -3.72 eV per atom

Quantum ESPRESSO input file:
```
&SYSTEM
  ibrav = 0, nat = 8, ntyp = 4
/
ATOMIC_SPECIES
S 32.06 S.upf
Ge 72.64 Ge.upf
Cd 112.41 Cd.upf
Cu 63.55 Cu.upf
ATOMIC_POSITIONS crystal
S 0.129 0.129 0.481
S 0.648 0.648 0.519
S 0.871 0.352 0.000
S 0.352 0.871 0.000
Ge 0.500 0.500 0.000
Cd 0.250 0.750 0.500
Cd 0.750 0.250 0.500
Cu 0.000 0.000 0.000
CELL_PARAMETERS angstrom
-2.872 2.872 5.641
2.872 -2.872 5.641
2.872 2.872 -5.641
```

=====

## CdCu2GeSe2S2 (PBE)

Data for a geometry-optimized CdCu2GeSe2S2 structure. Values from VASP.

**Energy above the lowest structure with this stoichiometry**: 0.0 meV per atom

Quantum ESPRESSO input file:
```
&SYSTEM
  ibrav = 0, nat = 8, ntyp = 5
/
ATOMIC_SPECIES
Cd 112.41 Cd.upf
Cu 63.55 Cu.upf
S 32.06 S.upf
Se 78.96 Se.upf
Ge 72.64 Ge.upf
ATOMIC_POSITIONS crystal
Cd 0.014 0.986 0.500
Cu 0.254 0.247 0.223
Cu 0.753 0.746 0.777
S 0.401 0.865 0.904
S 0.135 0.599 0.096
Se 0.865 0.410 0.368
Se 0.590 0.135 0.632
Ge 0.488 0.512 0.000
CELL_PARAMETERS angstrom
6.102 -2.837 0.000
6.102 2.837 0.000
-2.564 0.000 5.085
```

=====

## CdCu2GeSe2S2 (PBE)

Data for a geometry-optimized CdCu2GeSe2S2 structure. Values from VASP.

**Energy above the lowest structure with this stoichiometry**: 4.0 meV per atom

Quantum ESPRESSO input file:
```
&SYSTEM
  ibrav = 0, nat = 8, ntyp = 5
/
ATOMIC_SPECIES
S 32.06 S.upf
Se 78.96 Se.upf
Cu 63.55 Cu.upf
Cd 112.41 Cd.upf
Ge 72.64 Ge.upf
ATOMIC_POSITIONS crystal
S 0.410 0.863 0.590
S 0.863 0.410 0.137
Se 0.134 0.598 0.402
Se 0.598 0.134 0.866
Cu 0.739 0.739 0.761
Cu 0.239 0.239 0.261
Cd 0.008 0.008 0.992
Ge 0.507 0.507 0.493
CELL_PARAMETERS angstrom
6.594 -0.178 1.586
3.491 -4.394 3.797
3.064 -3.772 -2.945
```